Here is a geometry-optimized In2Br structure from the Alexandria database. Energies are from GGA-PBE.

Calculated values
* SG: P6_3/mmc (194)
* VASP energy: -31.031 eV/cell
* raw formation energy: -0.20 eV/atom
* energy above the lowest structure with this stoichiometry: 10.5 kJ per mole of atoms

a = 6.419 Å, b = 6.419 Å, c = 10.269 Å
α = 90.00°, β = 90.00°, γ = 120.00°
Positions (direct):
In1 0.000 0.000 0.000
In2 0.000 0.000 0.500
In3 0.173 0.345 0.250
In4 0.173 0.827 0.250
In5 0.345 0.173 0.750
In6 0.655 0.827 0.250
In7 0.827 0.173 0.750
In8 0.827 0.655 0.750
Br1 0.333 0.667 0.557
Br2 0.333 0.667 0.943
Br3 0.667 0.333 0.057
Br4 0.667 0.333 0.443

---

Here is a geometry-optimized In3Br structure from the Alexandria database. Energies are from GGA-PBE.

Calculated values
* SG: Cmmm (65)
* VASP energy: -21.016 eV/cell
* raw formation energy: -0.15 eV/atom
* energy above the lowest structure with this stoichiometry: 4.5 kJ per mole of atoms

a = 4.122 Å, b = 5.708 Å, c = 9.763 Å
α = 90.00°, β = 90.00°, γ = 90.00°
Positions (direct):
In1 0.000 0.000 0.000
In2 0.000 0.500 0.260
In3 0.000 0.500 0.740
In4 0.500 0.000 0.260
In5 0.500 0.000 0.740
In6 0.500 0.500 0.000
Br1 0.000 0.000 0.500
Br2 0.500 0.500 0.500

---

Here is a geometry-optimized In3Br structure from the Alexandria database. Energies are from GGA-PBE.

Calculated values
* SG: Cmcm (63)
* VASP energy: -42.504 eV/cell
* raw formation energy: -0.18 eV/atom
* energy above the lowest structure with this stoichiometry: 1.7 kJ per mole of atoms

a = 8.694 Å, b = 17.153 Å, c = 3.646 Å
α = 90.00°, β = 90.00°, γ = 90.00°
Positions (direct):
In1 0.000 0.072 0.250
In2 0.000 0.928 0.750
In3 0.215 0.177 0.750
In4 0.215 0.823 0.250
In5 0.285 0.323 0.250
In6 0.285 0.677 0.750
In7 0.500 0.428 0.750
In8 0.500 0.572 0.250
In9 0.715 0.323 0.250
In10 0.715 0.677 0.750
In11 0.785 0.177 0.750
In12 0.785 0.823 0.250
Br1 0.000 0.395 0.250
Br2 0.000 0.605 0.750
Br3 0.500 0.105 0.750
Br4 0.500 0.895 0.250

---

Here is a geometry-optimized InBr3 structure from the Alexandria database. Energies are from GGA-PBE.

Calculated values
* SG: R-3m (166)
* VASP energy: -27.292 eV/cell
* raw formation energy: -0.34 eV/atom

a = 4.184 Å, b = 4.184 Å, c = 23.476 Å
α = 90.00°, β = 90.00°, γ = 120.00°
Positions (direct):
In1 0.000 0.000 0.000
In2 0.333 0.667 0.667
In3 0.667 0.333 0.333
Br1 0.000 0.000 0.267
Br2 0.000 0.000 0.500
Br3 0.000 0.000 0.733
Br4 0.333 0.667 0.167
Br5 0.333 0.667 0.399
Br6 0.333 0.667 0.934
Br7 0.667 0.333 0.066
Br8 0.667 0.333 0.601
Br9 0.667 0.333 0.833

---

Here is a geometry-optimized In4Br structure from the Alexandria database. Energies are from GGA-PBE.

Calculated values
* SG: Pm-3m (221)
* VASP energy: -11.155 eV/cell
* raw formation energy: 0.29 eV/atom
* energy above the lowest structure with this stoichiometry: 37.8 kJ per mole of atoms

a = 5.904 Å, b = 5.904 Å, c = 5.904 Å
α = 90.00°, β = 90.00°, γ = 90.00°
Positions (direct):
In1 0.000 0.000 0.000
In2 0.000 0.500 0.500
In3 0.500 0.000 0.500
In4 0.500 0.500 0.000
Br1 0.500 0.500 0.500

---

Here is a geometry-optimized InBr structure from the Alexandria database. Energies are from GGA-PBE.

Calculated values
* SG: P-3m1 (164)
* VASP energy: -11.082 eV/cell
* raw formation energy: -0.56 eV/atom

a = 4.230 Å, b = 4.230 Å, c = 9.805 Å
α = 90.00°, β = 90.00°, γ = 120.00°
Positions (direct):
In1 0.333 0.667 0.140
In2 0.667 0.333 0.860
Br1 0.333 0.667 0.686
Br2 0.667 0.333 0.314

---

Here is a geometry-optimized In3Br2 structure from the Alexandria database. Energies are from GGA-PBE.

Calculated values
* SG: P-3m1 (164)
* VASP energy: -12.931 eV/cell
* raw formation energy: -0.27 eV/atom
* energy above the lowest structure with this stoichiometry: 10.2 kJ per mole of atoms

a = 5.640 Å, b = 5.640 Å, c = 6.621 Å
α = 90.00°, β = 90.00°, γ = 120.00°
Positions (direct):
In1 0.000 0.000 0.000
In2 0.333 0.667 0.312
In3 0.667 0.333 0.688
Br1 0.333 0.667 0.834
Br2 0.667 0.333 0.166

---

Here is a geometry-optimized In2Br structure from the Alexandria database. Energies are from GGA-PBE.

Calculated values
* SG: Cmcm (63)
* VASP energy: -32.338 eV/cell
* raw formation energy: -0.31 eV/atom
* energy above the lowest structure with this stoichiometry: 0.0 kJ per mole of atoms

a = 11.548 Å, b = 6.136 Å, c = 5.976 Å
α = 90.00°, β = 90.00°, γ = 90.00°
Positions (direct):
In1 0.235 0.130 0.250
In2 0.235 0.870 0.750
In3 0.265 0.370 0.750
In4 0.265 0.630 0.250
In5 0.735 0.370 0.750
In6 0.735 0.630 0.250
In7 0.765 0.130 0.250
In8 0.765 0.870 0.750
Br1 0.000 0.263 0.250
Br2 0.000 0.737 0.750
Br3 0.500 0.237 0.750
Br4 0.500 0.763 0.250

---

Q: Which of these has the highest VASP energy?
A: InBr

---

Q: Look up the raw formation energy of the fourth one.
A: -0.34 eV/atom

---

Q: What is the raw formation energy in the fifth record?
A: 0.29 eV/atom